Record 1
LaCdP2 | PBE | optimized geometry

## Properties
The space group is Imm2, No. 44. The energy above the most stable polymorph in this dataset is 0.1866 eV/atom. The formation energy comes out at -10.4 kcal/mol of atoms.

a b c (Å): 5.971 5.971 5.971
angles (deg): 139.86 139.24 58.54
Sites, in units of the cell vectors:
La1 0.748 0.248 0.500
Cd1 0.495 0.495 0.000
P1 0.006 0.006 0.000
P2 0.251 0.751 0.500

Record 2
Cs3Tb2ThTe6 | PBE | optimized geometry

## Properties
The space group is C2/m, No. 12. For the raw formation energy, the calculation gives -1317 meV per atom.

a b c (Å): 7.888 7.888 9.375
angles (deg): 98.06 98.06 120.00
Sites, in units of the cell vectors:
Tb1 0.333 0.667 0.000
Tb2 0.667 0.333 0.000
Te1 0.271 0.271 0.806
Te2 0.935 0.600 0.806
Te3 0.400 0.065 0.194
Te4 0.600 0.935 0.806
Te5 0.065 0.400 0.194
Te6 0.729 0.729 0.194
Cs1 0.834 0.166 0.500
Cs2 0.500 0.500 0.500
Cs3 0.166 0.834 0.500
Th1 0.000 0.000 0.000

Record 3
Sm13Ho2 | PBE | optimized geometry

## Properties
The space group is P-1, No. 2. The formation energy comes out at 1.4 kcal/mol of atoms.

a b c (Å): 6.712 9.066 9.066
angles (deg): 113.75 82.15 97.89
Sites, in units of the cell vectors:
Sm1 0.702 0.629 0.027
Sm2 0.102 0.564 0.765
Sm3 0.000 0.000 0.000
Sm4 0.305 0.039 0.638
Sm5 0.695 0.961 0.362
Sm6 0.804 0.196 0.794
Sm7 0.196 0.804 0.206
Sm8 0.603 0.398 0.596
Sm9 0.898 0.436 0.235
Sm10 0.502 0.168 0.165
Sm11 0.298 0.371 0.973
Sm12 0.397 0.602 0.404
Sm13 0.498 0.832 0.835
Ho1 0.098 0.231 0.430
Ho2 0.902 0.769 0.570

Record 4
AlReNi6 | PBE | optimized geometry

## Properties
The space group is Cmmm, No. 65. The energy above the most stable polymorph in this dataset is 0.0055 eV/atom. The formation energy comes out at -4.2 kcal/mol of atoms.

a b c (Å): 6.226 6.226 10.161
angles (deg): 90.00 90.00 109.44
Each line ends with the local moment (μB).
Sites, in units of the cell vectors:
Ni1 0.626 0.877 0.125  0.08
Ni2 0.123 0.374 0.375  0.08
Ni3 0.000 0.000 0.250  0.15
Ni4 0.626 0.877 0.375  0.08
Ni5 0.500 0.500 0.750  0.04
Ni6 0.000 0.000 0.750  0.02
Ni7 0.374 0.123 0.375  0.08
Ni8 0.626 0.875 0.625  0.06
Ni9 0.626 0.875 0.875  0.06
Ni10 0.877 0.626 0.375  0.08
Ni11 0.123 0.374 0.125  0.08
Ni12 0.751 0.249 0.498  0.08
Ni13 0.125 0.374 0.875  0.06
Ni14 0.125 0.374 0.625  0.06
Ni15 0.249 0.751 0.498  0.08
Ni16 0.875 0.626 0.875  0.06
Ni17 0.877 0.626 0.125  0.08
Ni18 0.875 0.626 0.625  0.06
Ni19 0.374 0.125 0.625  0.06
Ni20 0.249 0.751 0.002  0.08
Ni21 0.374 0.123 0.125  0.08
Ni22 0.500 0.500 0.250  0.14
Ni23 0.374 0.125 0.875  0.06
Ni24 0.751 0.249 0.002  0.08
Re1 0.250 0.750 0.250  0.36
Re2 0.000 0.000 0.506  0.26
Re3 0.750 0.250 0.250  0.36
Re4 0.000 0.000 0.994  0.26
Al1 0.751 0.249 0.750  0.00
Al2 0.249 0.751 0.750  0.00
Al3 0.500 0.500 0.997  0.00
Al4 0.500 0.500 0.503  0.00

Record 5
NbCd2Ge | PBE | optimized geometry

## Properties
The space group is I-42d, No. 122. The formation energy comes out at 8.6 kcal/mol of atoms.

a b c (Å): 7.846 7.846 6.170
angles (deg): 50.51 50.51 90.00
Sites, in units of the cell vectors:
Nb1 0.000 0.000 0.000
Nb2 0.750 0.250 0.500
Cd1 0.375 0.398 0.750
Cd2 0.875 0.852 0.750
Cd3 0.602 0.125 0.250
Cd4 0.148 0.625 0.250
Ge1 0.250 0.750 0.500
Ge2 0.500 0.500 0.000

Record 6
CrGa | PBE | optimized geometry

## Properties
The space group is P6_3/mmc, No. 194. The formation energy comes out at 3.6 kcal/mol of atoms.

a b c (Å): 7.514 7.514 4.131
angles (deg): 90.00 90.00 120.00
Sites, in units of the cell vectors:
Cr1 0.442 0.558 0.250
Cr2 0.116 0.558 0.250
Cr3 0.558 0.116 0.750
Cr4 0.558 0.442 0.750
Cr5 0.442 0.884 0.250
Cr6 0.884 0.442 0.750
Ga1 0.588 0.794 0.750
Ga2 0.206 0.412 0.750
Ga3 0.412 0.206 0.250
Ga4 0.794 0.206 0.250
Ga5 0.206 0.794 0.750
Ga6 0.794 0.588 0.250

Record 7
RbNaPuBr6 | PBE | optimized geometry

## Properties
The space group is P-31c, No. 163. For the raw formation energy, the calculation gives -1484 meV per atom.

a b c (Å): 7.554 7.554 15.013
angles (deg): 90.00 90.00 120.00
Each line ends with the local moment (μB).
Sites, in units of the cell vectors:
Na1 0.667 0.333 0.750  0.00
Na2 0.333 0.667 0.250  0.00
Br1 0.379 0.354 0.357  -0.07
Br2 0.621 0.976 0.857  -0.07
Br3 0.354 0.976 0.643  -0.07
Br4 0.976 0.354 0.143  -0.07
Br5 0.024 0.379 0.643  -0.07
Br6 0.621 0.646 0.643  -0.07
Br7 0.646 0.621 0.143  -0.07
Br8 0.646 0.024 0.357  -0.07
Br9 0.976 0.621 0.357  -0.07
Br10 0.379 0.024 0.143  -0.07
Br11 0.354 0.379 0.857  -0.07
Br12 0.024 0.646 0.857  -0.07
Rb1 0.000 0.000 0.500  0.00
Rb2 0.000 0.000 0.000  0.00
Pu1 0.333 0.667 0.750  4.49
Pu2 0.667 0.333 0.250  4.49

Record 8
La3Pu2Fe4 | PBE | optimized geometry

## Properties
The space group is C2/m, No. 12. The formation energy comes out at -1.0 kcal/mol of atoms.

a b c (Å): 4.085 6.035 8.704
angles (deg): 104.28 90.00 109.78
Each line ends with the local moment (μB).
Sites, in units of the cell vectors:
Fe1 0.081 0.163 0.639  -1.30
Fe2 0.738 0.476 0.089  -1.31
Fe3 0.919 0.837 0.361  -1.30
Fe4 0.262 0.524 0.911  -1.31
La1 0.375 0.750 0.618  0.20
La2 0.000 0.000 0.000  0.16
La3 0.625 0.250 0.382  0.20
Pu1 0.328 0.655 0.220  4.90
Pu2 0.672 0.345 0.780  4.90

Record 9
Ti6Al16Fe7 | PBE | optimized geometry

## Properties
The space group is Fm-3m, No. 225. The formation energy comes out at -8.7 kcal/mol of atoms.

a b c (Å): 8.362 8.362 8.362
angles (deg): 60.00 60.00 60.00
Each line ends with the local moment (μB).
Sites, in units of the cell vectors:
Al1 0.976 0.341 0.341  -0.01
Al2 0.881 0.358 0.881  0.00
Al3 0.659 0.024 0.659  -0.01
Al4 0.881 0.881 0.881  0.00
Al5 0.659 0.659 0.024  -0.01
Al6 0.341 0.976 0.341  -0.01
Al7 0.024 0.659 0.659  -0.01
Al8 0.642 0.119 0.119  0.00
Al9 0.358 0.881 0.881  0.00
Al10 0.341 0.341 0.976  -0.01
Al11 0.659 0.659 0.659  -0.01
Al12 0.881 0.881 0.358  0.00
Al13 0.119 0.119 0.119  0.00
Al14 0.341 0.341 0.341  -0.01
Al15 0.119 0.119 0.642  0.00
Al16 0.119 0.642 0.119  0.00
Fe1 0.000 0.000 0.500  0.61
Fe2 0.500 0.000 0.500  0.61
Fe3 0.000 0.000 0.000  -0.63
Fe4 0.000 0.500 0.500  0.61
Fe5 0.000 0.500 0.000  0.61
Fe6 0.500 0.500 0.000  0.61
Fe7 0.500 0.000 0.000  0.61
Ti1 0.709 0.709 0.291  0.29
Ti2 0.291 0.709 0.291  0.29
Ti3 0.291 0.709 0.709  0.29
Ti4 0.709 0.291 0.291  0.29
Ti5 0.291 0.291 0.709  0.29
Ti6 0.709 0.291 0.709  0.29

Record 10
Sn7Br12F | PBE | optimized geometry

## Properties
The space group is R-3, No. 148. For the raw formation energy, the calculation gives -770 meV per atom.

a b c (Å): 9.654 9.654 9.654
angles (deg): 107.90 107.90 107.90
Sites, in units of the cell vectors:
Sn1 0.095 0.022 0.328
Sn2 0.328 0.095 0.022
Sn3 0.978 0.672 0.905
Sn4 0.905 0.978 0.672
Sn5 0.022 0.328 0.095
Sn6 0.500 0.500 0.500
Sn7 0.672 0.905 0.978
Br1 0.061 0.661 0.217
Br2 0.150 0.359 0.444
Br3 0.661 0.217 0.061
Br4 0.556 0.850 0.641
Br5 0.217 0.061 0.661
Br6 0.444 0.150 0.359
Br7 0.359 0.444 0.150
Br8 0.939 0.339 0.783
Br9 0.339 0.783 0.939
Br10 0.783 0.939 0.339
Br11 0.850 0.641 0.556
Br12 0.641 0.556 0.850
F1 0.000 0.000 0.000

Record 11
Sb2MoW | PBE | optimized geometry

## Properties
The space group is P2/m, No. 10. The energy above the most stable polymorph in this dataset is 0.6389 eV/atom. For the raw formation energy, the calculation gives 809 meV per atom.

a b c (Å): 4.338 3.125 5.775
angles (deg): 84.56 90.00 90.00
Sites, in units of the cell vectors:
Sb1 0.000 0.493 0.502
Sb2 0.000 0.007 0.998
Mo1 0.500 0.750 0.750
W1 0.500 0.250 0.250

Record 12
AcZnPSe | PBE | optimized geometry

## Properties
The space group is R-3m, No. 166. For the raw formation energy, the calculation gives -1035 meV per atom.

a b c (Å): 4.368 4.368 14.307
angles (deg): 81.22 81.22 60.00
Sites, in units of the cell vectors:
Ac1 0.087 0.087 0.740
Ac2 0.913 0.913 0.260
Se1 0.790 0.790 0.631
Se2 0.210 0.210 0.369
P1 0.370 0.370 0.889
P2 0.630 0.630 0.111
Zn1 0.688 0.688 0.935
Zn2 0.312 0.312 0.065

Record 13
TlIn7Pb4 | PBE | optimized geometry

## Properties
The space group is P-3m1, No. 164. The formation energy comes out at 0.6 kcal/mol of atoms.

a b c (Å): 3.495 3.495 32.979
angles (deg): 90.00 90.00 120.00
Sites, in units of the cell vectors:
In1 0.333 0.667 0.417
In2 0.000 0.000 0.248
In3 0.333 0.667 0.169
In4 0.000 0.000 0.752
In5 0.000 0.000 0.000
In6 0.667 0.333 0.831
In7 0.667 0.333 0.583
Pb1 0.667 0.333 0.332
Pb2 0.333 0.667 0.916
Pb3 0.667 0.333 0.084
Pb4 0.333 0.667 0.668
Tl1 0.000 0.000 0.500

Record 14
NbAlSbN2 | PBE | optimized geometry

## Properties
The space group is P4/mmm, No. 123. For the raw formation energy, the calculation gives 1664 meV per atom.

a b c (Å): 4.029 5.336 4.029
angles (deg): 90.00 90.00 90.00
Sites, in units of the cell vectors:
Sb1 0.000 0.000 0.000
Nb1 0.500 0.500 0.500
N1 0.000 0.000 0.500
N2 0.500 0.000 0.000
Al1 0.000 0.500 0.000

Record 15
LiV2S2 | PBE | optimized geometry

## Properties
The space group is P4/mbm, No. 127. The energy above the most stable polymorph in this dataset is 0.2324 eV/atom. For the raw formation energy, the calculation gives -592 meV per atom.

a b c (Å): 6.465 6.465 3.081
angles (deg): 90.00 90.00 90.00
Sites, in units of the cell vectors:
S1 0.846 0.654 0.000
S2 0.654 0.154 0.000
S3 0.154 0.346 0.000
S4 0.346 0.846 0.000
V1 0.644 0.856 0.500
V2 0.356 0.144 0.500
V3 0.144 0.644 0.500
V4 0.856 0.356 0.500
Li1 0.500 0.500 0.000
Li2 0.000 0.000 0.000

Record 16
Pr4GaIrI2 | PBE | optimized geometry

## Properties
The space group is P2/m, No. 10. For the raw formation energy, the calculation gives -838 meV per atom.

a b c (Å): 4.278 7.658 8.410
angles (deg): 107.25 90.00 90.00
Sites, in units of the cell vectors:
Pr1 0.000 0.243 0.807
Pr2 0.500 0.224 0.190
Pr3 0.500 0.776 0.810
Pr4 0.000 0.757 0.193
Ga1 0.500 0.500 0.000
I1 0.500 0.000 0.500
I2 0.000 0.500 0.500
Ir1 0.000 0.000 0.000

Record 17
LiGaAu2 | PBE | optimized geometry

## Properties
The space group is P4/mmm, No. 123. The formation energy comes out at -9.7 kcal/mol of atoms.

a b c (Å): 3.417 4.352 4.352
angles (deg): 90.00 90.00 90.00
Sites, in units of the cell vectors:
Li1 0.500 0.000 0.000
Ga1 0.500 0.500 0.500
Au1 0.000 0.500 0.000
Au2 0.000 0.000 0.500

Record 18
BaNiIN2 | PBE | optimized geometry

## Properties
The space group is P4/mmm, No. 123. The energy above the most stable polymorph in this dataset is 0.0000 eV/atom. For the raw formation energy, the calculation gives 781 meV per atom.

a b c (Å): 4.443 4.443 5.138
angles (deg): 90.00 90.00 90.00
Each line ends with the local moment (μB).
Sites, in units of the cell vectors:
Ba1 0.500 0.500 0.500  0.00
N1 0.500 0.000 0.000  0.90
N2 0.000 0.500 0.000  0.90
Ni1 0.000 0.000 0.000  0.71
I1 0.000 0.000 0.500  0.08

Record 19
SnPt3Rh | PBE | optimized geometry

## Properties
The space group is Pm-3m, No. 221. The energy above the most stable polymorph in this dataset is 1.2208 eV/atom. The formation energy comes out at 22.4 kcal/mol of atoms.

a b c (Å): 4.854 4.854 4.854
angles (deg): 90.00 90.00 90.00
Each line ends with the local moment (μB).
Sites, in units of the cell vectors:
Rh1 0.000 0.000 0.000  1.02
Sn1 0.500 0.500 0.500  0.01
Pt1 0.000 0.500 0.000  0.33
Pt2 0.000 0.000 0.500  0.65
Pt3 0.500 0.000 0.000  0.14

Record 20
LiLaCu2 | PBE | optimized geometry

## Properties
The space group is P4mm, No. 99. The formation energy comes out at 1.0 kcal/mol of atoms.

a b c (Å): 3.285 3.283 7.197
angles (deg): 90.00 90.00 90.00
Sites, in units of the cell vectors:
La1 0.000 0.000 0.458
Cu1 0.000 0.000 0.028
Cu2 0.500 0.500 0.180
Li1 0.500 0.500 0.834

Record 21
Tb3Pu | PBE | optimized geometry

## Properties
The space group is Imm2, No. 44. The energy above the most stable polymorph in this dataset is 0.0000 eV/atom. The formation energy comes out at 2.2 kcal/mol of atoms.

a b c (Å): 3.530 6.162 6.706
angles (deg): 117.35 105.26 90.00
Each line ends with the local moment (μB).
Sites, in units of the cell vectors:
Pu1 0.000 0.004 0.000  5.63
Tb1 0.746 0.080 0.493  0.16
Tb2 0.500 0.495 0.000  0.16
Tb3 0.254 0.588 0.507  0.16

Record 22
Ac2PdRu | PBE | optimized geometry

## Properties
The space group is P4/mmm, No. 123. The formation energy comes out at -8.2 kcal/mol of atoms.

a b c (Å): 3.697 3.697 7.673
angles (deg): 90.00 90.00 90.00
Sites, in units of the cell vectors:
Ac1 0.000 0.000 0.759
Ac2 0.000 0.000 0.241
Ru1 0.500 0.500 0.000
Pd1 0.500 0.500 0.500